Density functional theory data (GGA+U) for a relaxed MnIrN2O crystal.

## Properties
For the electronic total energy, the calculation gives -35.5 eV for the cell shown. Its total magnetization is 5.00 μB/cell.

Unit cell a=3.7585 b=3.7585 c=4.3815 alpha=90.00 beta=90.00 gamma=90.00
Closest atoms and distances in Å follow each position.
Space group P4/mmm (No. 123)
One atom of each set of equivalent atoms:
Mn  0.0000  0.0000  0.0000  4 O 2.66, 8 N 2.89
Ir  0.5000  0.5000  0.5000  4 N 1.88
N  0.0000  0.5000  0.5000  2 Ir 1.88
O  0.5000  0.5000  0.0000  2 Ir 2.19